Entry from Alexandria via LeMat-Bulk: a PBEsol-optimized structure of KCoF4 (meta-GGA SCAN).

Results
- E_form (uncorrected) (eV/atom) = -2.4628
- magnetization (μB/f.u.) = 4.02
- SG = P2_12_12

Cell lengths 5.759, 7.585, 7.585 Å; angles 90.00, 90.00, 90.00 degrees
Last column: magnetic moment on the atom in μB.
Atoms (fractional coordinates):
Co 0.000 0.251 0.751  3.22
Co 0.000 0.249 0.251  3.22
Co 0.000 0.749 0.249  3.22
Co 0.000 0.751 0.749  3.22
F 0.109 0.002 0.738  0.14
F 0.292 0.686 0.307  0.22
F 0.708 0.807 0.185  0.22
F 0.109 0.263 0.002  0.14
F 0.891 0.763 0.498  0.14
F 0.292 0.307 0.315  0.22
F 0.708 0.186 0.193  0.22
F 0.109 0.737 0.998  0.14
F 0.891 0.498 0.238  0.14
F 0.708 0.193 0.815  0.22
F 0.292 0.693 0.685  0.22
F 0.292 0.314 0.693  0.22
F 0.708 0.814 0.807  0.22
F 0.109 0.998 0.262  0.14
F 0.891 0.237 0.502  0.14
F 0.891 0.502 0.762  0.14
K 0.574 0.500 0.500  0.00
K 0.500 0.000 0.500  0.00
K 0.500 0.500 0.000  0.00
K 0.426 0.000 0.000  0.00